Entry from Alexandria: a relaxed Rb2I3N2 crystal (PBE).

Output
Formation energy (no corrections), eV/atom: 0.603

Unit cell a=5.7275 b=11.0050 c=6.3997 alpha=54.58 beta=56.33 gamma=79.76
Closest atoms and distances in Å follow each position.
Fractional positions:
Rb  0.8967  0.2089  0.0917  4 N 3.22-3.58
N  0.7890  0.8222  0.5322  4 Rb 3.22-3.58, 3 I 3.32-3.43
I  0.5000  0.0000  0.0000  2 N 3.43, 2 Rb 3.75
N  0.2110  0.1778  0.4678  4 Rb 3.22-3.58, 3 I 3.32-3.43
Rb  0.1033  0.7911  0.9083  4 N 3.22-3.58
I  0.5002  0.5007  0.7480  2 I 3.18-3.22, 2 N 3.32-3.35
I  0.4998  0.4993  0.2520  2 I 3.18-3.22, 2 N 3.32-3.35

Entry from Alexandria: a relaxed RbIN3 crystal (PBE).

Output
Formation energy (no corrections), eV/atom: 2.693

Unit cell a=5.3287 b=5.3287 c=5.3287 alpha=90.00 beta=90.00 gamma=90.00
Closest atoms and distances in Å follow each position.
Fractional positions:
N  0.5000  0.0000  0.0000  2 Rb 2.66
N  0.0000  0.0000  0.5000  2 Rb 2.66
N  0.0000  0.5000  0.0000  2 Rb 2.66
Rb  0.0000  0.0000  0.0000  6 N 2.66
I  0.5000  0.5000  0.5000  12 N 3.77

Entry from Alexandria: a relaxed RbIN3 crystal (PBE).

Output
Formation energy (no corrections), eV/atom: 1.902

Unit cell a=4.1955 b=4.1955 c=4.1955 alpha=90.00 beta=90.00 gamma=90.00
Closest atoms and distances in Å follow each position.
Fractional positions:
Rb  0.5000  0.5000  0.5000  12 N 2.97
N  0.5000  0.0000  0.0000  2 I 2.10
N  0.0000  0.0000  0.5000  2 I 2.10
N  0.0000  0.5000  0.0000  2 I 2.10
I  0.0000  0.0000  0.0000  6 N 2.10

Entry from Alexandria: a relaxed Rb3IN4 crystal (PBE).

Output
Formation energy (no corrections), eV/atom: -0.376

Unit cell a=4.1810 b=5.6396 c=10.5552 alpha=74.41 beta=78.58 gamma=90.00
Closest atoms and distances in Å follow each position.
Fractional positions:
N  0.8066  0.3048  0.3878  1 N 1.18
Rb  0.5000  0.5000  0.0000  4 N 3.40, 4 I 3.51
N  0.8660  0.3636  0.2692  1 N 1.18
N  0.1340  0.6364  0.7308  1 N 1.18
I  0.0000  0.0000  0.0000  8 Rb 3.51-3.88, 4 N 3.89
N  0.1934  0.6952  0.6122  1 N 1.18
Rb  0.3357  0.8367  0.3284  1 N 2.82
Rb  0.6643  0.1633  0.6716  1 N 2.82

Entry from Alexandria: a relaxed Rb3IN crystal (PBE).

Output
Formation energy (no corrections), eV/atom: -0.159
E above lowest polymorph, meV/atom: 412

Unit cell a=5.7743 b=5.7743 c=5.7743 alpha=90.00 beta=90.00 gamma=90.00
Closest atoms and distances in Å follow each position.
Fractional positions:
Rb  0.0000  0.0000  0.5000  2 N 2.89
Rb  0.5000  0.0000  0.0000  2 N 2.89
Rb  0.0000  0.5000  0.0000  2 N 2.89
N  0.0000  0.0000  0.0000  6 Rb 2.89
I  0.5000  0.5000  0.5000  12 Rb 4.08

Entry from Alexandria: a relaxed Rb3IN crystal (PBE).

Output
Formation energy (no corrections), eV/atom: -0.571
E above lowest polymorph, meV/atom: 0

Unit cell a=4.9373 b=10.5228 c=16.6077 alpha=81.28 beta=136.78 gamma=87.35
Closest atoms and distances in Å follow each position.
Fractional positions:
N  0.5840  0.0367  0.4984  1 N 1.18
Rb  0.7199  0.0664  0.1791  2 N 3.57-3.58, 2 I 3.69-3.71
Rb  0.6569  0.5955  0.1731  3 I 3.72-3.75
Rb  0.3431  0.4045  0.8269  3 I 3.72-3.75
Rb  0.9700  0.7755  0.4968  2 N 2.99-3.29
I  0.1709  0.3312  0.1686  6 Rb 3.67-3.75
N  0.4160  0.9633  0.5016  1 N 1.18
I  0.8291  0.6688  0.8314  6 Rb 3.67-3.75
Rb  0.0300  0.2245  0.5032  2 N 2.99-3.29
Rb  0.2801  0.9336  0.8209  2 N 3.57-3.58, 2 I 3.69-3.71

Entry from Alexandria: a relaxed RbReIN2 crystal (PBE).

Output
Formation energy (no corrections), eV/atom: 0.576
E above lowest polymorph, meV/atom: 0

Unit cell a=4.1491 b=4.1491 c=5.7611 alpha=90.00 beta=90.00 gamma=90.00
Closest atoms and distances in Å follow each position.
Fractional positions:
Rb  0.5000  0.5000  0.5000  4 I 2.93
Re  0.0000  0.0000  0.0000  4 N 2.07
N  0.5000  0.0000  0.0000  2 Re 2.07
I  0.0000  0.0000  0.5000  2 Re 2.88, 4 Rb 2.93
N  0.0000  0.5000  0.0000  2 Re 2.07

Entry from Alexandria: a relaxed RbReIN2 crystal (PBE).

Output
Formation energy (no corrections), eV/atom: 2.931
E above lowest polymorph, meV/atom: 2355

Unit cell a=5.4143 b=5.4143 c=7.3611 alpha=90.00 beta=90.00 gamma=90.00
Closest atoms and distances in Å follow each position.
Fractional positions:
N  0.0000  0.5000  0.0000  2 Rb 2.71
Re  0.5000  0.5000  0.5000  4 I 3.83
N  0.5000  0.0000  0.0000  2 Rb 2.71
I  0.0000  0.0000  0.5000  2 Rb 3.68, 4 Re 3.83
Rb  0.0000  0.0000  0.0000  4 N 2.71

Entry from Alexandria: a relaxed RbRhI2N crystal (PBE).

Output
Formation energy (no corrections), eV/atom: -0.155
E above lowest polymorph, meV/atom: 0

Unit cell a=6.0134 b=6.0134 c=3.7734 alpha=90.00 beta=90.00 gamma=90.00
Closest atoms and distances in Å follow each position.
Fractional positions:
I  0.0000  0.5000  0.0000  2 Rh 3.01
Rb  0.5000  0.5000  0.5000  8 I 3.55, 2 Rb 3.77
I  0.5000  0.0000  0.0000  2 Rh 3.01
Rh  0.0000  0.0000  0.0000  2 N 1.89
N  0.0000  0.0000  0.5000  2 Rh 1.89

Entry from Alexandria: a relaxed RbRhIN2 crystal (PBE).

Output
Formation energy (no corrections), eV/atom: 1.048
E above lowest polymorph, meV/atom: 0

Unit cell a=4.2321 b=4.2321 c=5.7922 alpha=90.00 beta=90.00 gamma=90.00
Closest atoms and distances in Å follow each position.
Fractional positions:
Rb  0.5000  0.5000  0.5000  4 I 2.99
I  0.0000  0.0000  0.5000  2 Rh 2.90, 4 Rb 2.99
N  0.0000  0.5000  0.0000  2 Rh 2.12
Rh  0.0000  0.0000  0.0000  4 N 2.12
N  0.5000  0.0000  0.0000  2 Rh 2.12

Entry from Alexandria: a relaxed RbRhI2N crystal (PBE).

Output
Formation energy (no corrections), eV/atom: 1.527
E above lowest polymorph, meV/atom: 1682

Unit cell a=6.7367 b=6.7367 c=5.3507 alpha=90.00 beta=90.00 gamma=90.00
Closest atoms and distances in Å follow each position.
Fractional positions:
Rh  0.5000  0.5000  0.5000  8 I 4.30, 4 N 4.76
Rb  0.0000  0.0000  0.0000  2 N 2.68
I  0.0000  0.5000  0.0000  2 Rb 3.37
N  0.0000  0.0000  0.5000  2 Rb 2.68
I  0.5000  0.0000  0.0000  2 Rb 3.37

Entry from Alexandria: a relaxed RbRhIN2 crystal (PBE).

Output
Formation energy (no corrections), eV/atom: 2.407
E above lowest polymorph, meV/atom: 1360

Unit cell a=5.1721 b=5.1721 c=7.3407 alpha=90.00 beta=90.00 gamma=90.00
Closest atoms and distances in Å follow each position.
Fractional positions:
I  0.0000  0.0000  0.5000  4 Rh 3.66, 2 Rb 3.67
N  0.5000  0.0000  0.0000  2 Rb 2.59
Rh  0.5000  0.5000  0.5000  4 I 3.66
Rb  0.0000  0.0000  0.0000  4 N 2.59
N  0.0000  0.5000  0.0000  2 Rb 2.59

Q: Among the records above, which one has the highest formation energy (no corrections)?
A: number 8

Copy entry 11 word for word.
Entry from Alexandria: a relaxed RbRhI2N crystal (PBE).

Output
Formation energy (no corrections), eV/atom: 1.527
E above lowest polymorph, meV/atom: 1682

Unit cell a=6.7367 b=6.7367 c=5.3507 alpha=90.00 beta=90.00 gamma=90.00
Closest atoms and distances in Å follow each position.
Fractional positions:
Rh  0.5000  0.5000  0.5000  8 I 4.30, 4 N 4.76
Rb  0.0000  0.0000  0.0000  2 N 2.68
I  0.0000  0.5000  0.0000  2 Rb 3.37
N  0.0000  0.0000  0.5000  2 Rb 2.68
I  0.5000  0.0000  0.0000  2 Rb 3.37

Q: Which formula does entry 9 have?
A: RbRhI2N

Q: Look up the formation energy (no corrections) of the ninth one.
A: -0.155 eV/atom